No. 1
Na2DyPaO6 | GGA-PBE | relaxed

```
Na2DyPaO6
1.0
5.865 0.000 0.000
0.000 6.001 0.000
-5.840 0.000 8.366
Na Dy Pa O
4 2 2 12
Cartesian
-0.033 0.229 2.085 Na
-2.952 2.771 6.268 Na
2.978 3.230 2.098 Na
0.058 5.771 6.281 Na
-2.920 0.000 4.183 Dy
0.000 3.000 0.000 Dy
2.933 0.000 0.000 Pa
0.013 3.000 4.183 Pa
-4.646 1.150 7.924 O
-1.727 1.850 3.741 O
-4.002 4.238 7.899 O
-1.082 4.763 3.716 O
-2.301 0.278 6.344 O
0.619 2.722 2.162 O
-0.594 3.278 6.204 O
2.326 5.723 2.021 O
1.107 1.238 4.649 O
4.027 1.763 0.467 O
1.752 4.151 4.625 O
4.672 4.850 0.442 O
```

Summary:
Formation energy (no corrections) (eV per atom): -2.503
Volume (Å³ per cell): 294
Space-group type: P2_1/c

***

No. 2
NaDy2PaO6 | GGA-PBE | relaxed

```
NaDy2PaO6
1.0
2.947 1.701 5.123
-2.947 1.701 5.123
0.000 -3.402 5.123
Na Dy Pa O
1 2 1 6
Cartesian
0.000 0.000 0.000 Na
0.000 0.000 4.183 Dy
0.000 0.000 11.982 Dy
0.000 0.000 7.423 Pa
-1.600 -0.180 5.934 O
-1.091 -1.689 8.323 O
0.956 -1.296 5.934 O
-0.918 1.789 8.323 O
0.644 1.476 5.934 O
2.008 -0.100 8.323 O
```

Summary:
Formation energy (no corrections) (eV per atom): -3.287
Volume (Å³ per cell): 154
Space-group type: R3

***

No. 3
Na2DyPaO5 | GGA-PBE | relaxed

```
Na2DyPaO5
1.0
4.191 0.000 0.000
0.000 4.191 0.000
0.000 0.000 8.695
Na Dy Pa O
2 1 1 5
Cartesian
0.000 0.000 2.044 Na
0.000 0.000 6.652 Na
2.095 2.095 4.348 Dy
2.095 2.095 0.000 Pa
0.000 0.000 4.348 O
0.000 2.095 0.000 O
2.095 0.000 0.000 O
2.095 2.095 2.214 O
2.095 2.095 6.481 O
```

Summary:
Formation energy (no corrections) (eV per atom): -2.625
Volume (Å³ per cell): 153
Space-group type: P4/mmm

***

No. 4
NaDyPaO4 | GGA-PBE | relaxed

```
NaDyPaO4
1.0
-3.442 3.566 4.923
3.442 -3.566 4.923
3.442 3.566 -4.923
Na Dy Pa O
2 2 2 8
Cartesian
0.000 1.783 1.305 Na
3.442 1.783 3.618 Na
1.721 1.783 -2.461 Dy
1.721 -1.783 2.461 Dy
3.442 0.000 0.000 Pa
0.000 0.000 4.923 Pa
3.442 -0.265 2.233 O
1.987 1.783 -0.157 O
4.896 1.783 -0.157 O
3.442 3.301 -2.233 O
0.000 0.265 7.156 O
-1.454 1.783 5.080 O
1.454 1.783 5.080 O
0.000 3.830 2.690 O
```

Summary:
Formation energy (no corrections) (eV per atom): -3.030
Volume (Å³ per cell): 242
Space-group type: Imma

***

No. 5
Na2DyPbO4 | GGA-PBE | relaxed

```
Na2DyPbO4
1.0
5.995 0.000 0.000
0.000 3.475 0.000
-1.999 0.000 5.659
Na Dy Pb O
2 1 1 4
Cartesian
0.000 0.000 0.000 Na
2.997 1.738 0.000 Na
-1.000 1.738 2.830 Dy
1.998 0.000 2.830 Pb
-0.081 0.000 4.054 O
0.937 1.738 1.559 O
3.058 1.738 4.100 O
4.077 0.000 1.606 O
```

Summary:
Formation energy (no corrections) (eV per atom): -1.958
Volume (Å³ per cell): 118
Space-group type: P2/m

***

No. 6
Na3Dy3PbO8 | GGA-PBE | relaxed

```
Na3Dy3PbO8
1.0
3.424 1.977 5.611
-3.424 1.977 5.611
0.000 -3.954 5.611
Na Dy Pb O
3 3 1 8
Cartesian
-1.712 -0.989 5.611 Na
-1.712 0.989 11.221 Na
0.000 1.977 5.611 Na
-3.424 0.000 8.416 Dy
-1.712 0.989 2.805 Dy
1.712 0.989 2.805 Dy
0.000 0.000 8.416 Pb
0.000 0.000 3.944 O
-1.649 -0.952 9.579 O
0.000 -1.904 7.253 O
-1.649 0.952 7.253 O
1.649 -0.952 9.579 O
0.000 1.904 9.579 O
1.649 0.952 7.253 O
0.000 0.000 12.888 O
```

Summary:
Formation energy (no corrections) (eV per atom): -2.404
Volume (Å³ per cell): 228
Space-group type: R-3m

***

No. 7
NaDyPbO3 | GGA-PBE | relaxed

```
NaDyPbO3
1.0
6.539 0.000 0.000
0.000 3.449 0.000
-0.764 0.000 8.773
Na Dy Pb O
2 2 2 6
Cartesian
0.333 0.862 3.008 Na
5.442 2.587 5.765 Na
2.223 0.862 5.735 Dy
3.552 2.587 3.039 Dy
0.845 2.587 8.413 Pb
4.930 0.862 0.360 Pb
0.244 0.862 6.883 O
1.633 2.587 4.324 O
2.985 0.862 1.600 O
2.791 2.587 7.174 O
4.142 0.862 4.449 O
5.531 2.587 1.890 O
```

Summary:
Formation energy (no corrections) (eV per atom): -2.182
Volume (Å³ per cell): 198
Space-group type: P2_1/m

***

No. 8
NaDy2PdO5 | GGA-PBE | relaxed

```
NaDy2PdO5
1.0
-3.253 3.253 5.963
3.253 -3.253 5.963
3.253 3.253 -5.963
Na Dy Pd O
2 4 2 10
Cartesian
0.000 0.000 2.981 Na
0.000 0.000 8.944 Na
4.382 1.129 0.000 Dy
1.129 2.124 0.000 Dy
2.124 1.129 5.963 Dy
-1.129 2.124 5.963 Dy
3.253 0.000 2.981 Pd
0.000 3.253 2.981 Pd
0.000 0.000 0.000 O
2.375 0.878 -1.390 O
2.375 -0.878 4.572 O
2.375 0.878 1.390 O
2.375 -0.878 7.353 O
0.000 0.000 5.963 O
0.878 4.131 -1.390 O
0.878 2.375 4.572 O
0.878 4.131 1.390 O
0.878 2.375 7.353 O
```

Summary:
Formation energy (no corrections) (eV per atom): -2.115
Volume (Å³ per cell): 252
Space-group type: I4/mcm

***

No. 9
Na2DyPdO4 | GGA-PBE | relaxed

```
Na2DyPdO4
1.0
5.455 0.000 0.000
0.000 3.404 0.000
-1.869 0.000 5.574
Na Dy Pd O
2 1 1 4
Cartesian
0.000 0.000 0.000 Na
2.728 1.702 0.000 Na
-0.935 1.702 2.787 Dy
1.793 0.000 2.787 Pd
0.037 0.000 3.967 O
0.959 1.702 1.557 O
2.627 1.702 4.017 O
3.549 0.000 1.607 O
```

Summary:
Formation energy (no corrections) (eV per atom): -1.781
Volume (Å³ per cell): 104
Space-group type: P2/m

***

No. 10
Na3Dy3PdO8 | GGA-PBE | relaxed

```
Na3Dy3PdO8
1.0
3.353 1.936 5.555
-3.353 1.936 5.555
0.000 -3.872 5.555
Na Dy Pd O
3 3 1 8
Cartesian
-1.676 -0.968 5.555 Na
-1.676 0.968 11.110 Na
0.000 1.936 5.555 Na
-3.353 0.000 8.332 Dy
-1.676 0.968 2.777 Dy
1.676 0.968 2.777 Dy
0.000 0.000 8.332 Pd
0.000 0.000 3.936 O
-1.542 -0.891 9.454 O
0.000 -1.781 7.210 O
-1.542 0.891 7.210 O
1.542 -0.891 9.454 O
0.000 1.781 9.454 O
1.542 0.891 7.210 O
0.000 0.000 12.728 O
```

Summary:
Formation energy (no corrections) (eV per atom): -2.320
Volume (Å³ per cell): 216
Space-group type: R-3m

***

No. 11
Na3DyPd3O8 | GGA-PBE | relaxed

```
Na3DyPd3O8
1.0
5.884 -3.079 0.000
5.884 3.079 0.000
-3.019 0.000 5.589
Na Dy Pd O
3 1 3 8
Cartesian
0.000 0.000 0.000 Na
2.942 1.540 0.000 Na
2.942 -1.540 0.000 Na
-1.509 0.000 2.794 Dy
1.433 1.540 2.794 Pd
1.433 -1.540 2.794 Pd
4.375 0.000 2.794 Pd
1.823 0.000 1.471 O
3.270 1.404 3.782 O
0.539 0.000 3.897 O
5.480 1.404 1.807 O
3.270 -1.404 3.782 O
8.210 0.000 1.691 O
5.480 -1.404 1.807 O
6.926 0.000 4.117 O
```

Summary:
Formation energy (no corrections) (eV per atom): -1.210
Volume (Å³ per cell): 203
Space-group type: C2/m

***

No. 12
Na3Pm2DyO6 | GGA-PBE | relaxed

```
Na3Pm2DyO6
1.0
3.044 -5.274 0.000
3.044 5.274 0.000
-2.024 0.000 5.614
Na Pm Dy O
3 2 1 6
Cartesian
0.000 0.000 0.000 Na
3.044 1.711 0.000 Na
3.044 -1.711 0.000 Na
2.032 3.514 2.807 Pm
2.032 -3.514 2.807 Pm
2.032 0.000 2.807 Dy
1.043 1.714 1.605 O
0.054 0.000 4.003 O
1.043 -1.714 1.605 O
3.021 1.714 4.008 O
4.010 0.000 1.611 O
3.021 -1.714 4.008 O
```

Summary:
Formation energy (no corrections) (eV per atom): -2.699
Volume (Å³ per cell): 180
Space-group type: C2/m

***

> formation energy (no corrections) of number 4 (NaDyPaO4)?

-3.030 eV per atom

***

What did the sixth record say?
Na3Dy3PbO8 | GGA-PBE | relaxed

```
Na3Dy3PbO8
1.0
3.424 1.977 5.611
-3.424 1.977 5.611
0.000 -3.954 5.611
Na Dy Pb O
3 3 1 8
Cartesian
-1.712 -0.989 5.611 Na
-1.712 0.989 11.221 Na
0.000 1.977 5.611 Na
-3.424 0.000 8.416 Dy
-1.712 0.989 2.805 Dy
1.712 0.989 2.805 Dy
0.000 0.000 8.416 Pb
0.000 0.000 3.944 O
-1.649 -0.952 9.579 O
0.000 -1.904 7.253 O
-1.649 0.952 7.253 O
1.649 -0.952 9.579 O
0.000 1.904 9.579 O
1.649 0.952 7.253 O
0.000 0.000 12.888 O
```

Summary:
Formation energy (no corrections) (eV per atom): -2.404
Volume (Å³ per cell): 228
Space-group type: R-3m